Entry 1:
Below is SrLaIn after structural relaxation, with properties calculated at the PBE level.

a = 13.050 Å, b = 3.800 Å, c = 9.203 Å
α = 90.00°, β = 108.84°, γ = 90.00°
Atoms (fractional coordinates):
1 Sr 0.152 0.000 0.109
2 Sr 0.348 0.500 0.891
3 Sr 0.652 0.500 0.109
4 Sr 0.848 0.000 0.891
5 La 0.122 0.000 0.523
6 La 0.378 0.500 0.477
7 La 0.622 0.500 0.523
8 La 0.878 0.000 0.477
9 In 0.045 0.500 0.773
10 In 0.455 0.000 0.227
11 In 0.545 0.000 0.773
12 In 0.955 0.500 0.227

- energy above the most stable polymorph in this dataset (meV per atom) = 84
- DFT formation energy (eV per atom) = -0.2878
- electronic total energy (eV per atom) = -3.40

Entry 2:
Below is Sr2La2In after structural relaxation, with properties calculated at the PBE level.

a = 8.317 Å, b = 8.317 Å, c = 5.963 Å
α = 90.00°, β = 90.00°, γ = 90.00°
Atoms (fractional coordinates):
1 Sr 0.175 0.325 0.000
2 Sr 0.325 0.825 0.000
3 Sr 0.675 0.175 0.000
4 Sr 0.825 0.675 0.000
5 La 0.127 0.627 0.500
6 La 0.373 0.127 0.500
7 La 0.627 0.873 0.500
8 La 0.873 0.373 0.500
9 In 0.000 0.000 0.500
10 In 0.500 0.500 0.500

- DFT formation energy (eV per atom) = 0.0588
- electronic total energy (eV per atom) = -3.13

Entry 3:
Below is SrLaIn2 after structural relaxation, with properties calculated at the PBE level.

a = 3.844 Å, b = 5.216 Å, c = 6.840 Å
α = 90.00°, β = 90.00°, γ = 90.00°
Atoms (fractional coordinates):
1 Sr 0.000 0.000 0.000
2 La 0.500 0.500 0.641
3 In 0.000 0.000 0.489
4 In 0.500 0.500 0.169

- DFT formation energy (eV per atom) = -0.2073
- electronic total energy (eV per atom) = -3.23

Entry 4:
Below is SrLa4In5 after structural relaxation, with properties calculated at the PBE level.

a = 3.966 Å, b = 3.966 Å, c = 20.003 Å
α = 90.00°, β = 90.00°, γ = 90.00°
Atoms (fractional coordinates):
1 Sr 0.000 0.000 0.000
2 La 0.000 0.000 0.203
3 La 0.000 0.000 0.402
4 La 0.000 0.000 0.598
5 La 0.000 0.000 0.797
6 In 0.500 0.500 0.106
7 In 0.500 0.500 0.304
8 In 0.500 0.500 0.500
9 In 0.500 0.500 0.696
10 In 0.500 0.500 0.894

- DFT formation energy (eV per atom) = -0.4919
- electronic total energy (eV per atom) = -4.00

Entry 5:
Below is Sr2LaIn after structural relaxation, with properties calculated at the PBE level.

a = 5.150 Å, b = 5.150 Å, c = 11.241 Å
α = 90.00°, β = 90.00°, γ = 90.00°
Atoms (fractional coordinates):
1 Sr 0.000 0.500 0.250
2 Sr 0.000 0.500 0.750
3 Sr 0.500 0.000 0.250
4 Sr 0.500 0.000 0.750
5 La 0.000 0.000 0.000
6 La 0.500 0.500 0.500
7 In 0.000 0.000 0.500
8 In 0.500 0.500 0.000

- DFT formation energy (eV per atom) = -0.0862
- electronic total energy (eV per atom) = -2.84

Entry 6:
Below is SrLa4In after structural relaxation, with properties calculated at the PBE level.

a = 6.788 Å, b = 6.788 Å, c = 6.788 Å
α = 60.00°, β = 60.00°, γ = 60.00°
Atoms (fractional coordinates):
1 Sr 0.000 0.000 0.000
2 La 0.379 0.379 0.379
3 La 0.379 0.379 0.864
4 La 0.379 0.864 0.379
5 La 0.864 0.379 0.379
6 In 0.750 0.750 0.750

- DFT formation energy (eV per atom) = 0.1247
- electronic total energy (eV per atom) = -3.90

Entry 7:
Below is SrLaTbIn after structural relaxation, with properties calculated at the PBE level.

a = 8.085 Å, b = 8.085 Å, c = 8.085 Å
α = 90.00°, β = 90.00°, γ = 90.00°
Atoms (fractional coordinates):
1 Sr 0.000 0.000 0.000
2 Sr 0.000 0.500 0.500
3 Sr 0.500 0.000 0.500
4 Sr 0.500 0.500 0.000
5 La 0.250 0.250 0.250
6 La 0.250 0.750 0.750
7 La 0.750 0.250 0.750
8 La 0.750 0.750 0.250
9 Tb 0.250 0.250 0.750
10 Tb 0.250 0.750 0.250
11 Tb 0.750 0.250 0.250
12 Tb 0.750 0.750 0.750
13 In 0.000 0.000 0.500
14 In 0.000 0.500 0.000
15 In 0.500 0.000 0.000
16 In 0.500 0.500 0.500

- DFT formation energy (eV per atom) = -0.0673
- electronic total energy (eV per atom) = -3.56

Entry 8:
Below is SrLa2InTe after structural relaxation, with properties calculated at the PBE level.

a = 6.047 Å, b = 6.047 Å, c = 6.130 Å
α = 90.00°, β = 90.00°, γ = 90.00°
Atoms (fractional coordinates):
1 Sr 0.000 0.000 0.000
2 La 0.000 0.500 0.500
3 La 0.500 0.000 0.500
4 In 0.500 0.500 0.500
5 Te 0.500 0.500 0.000

- formation energy (no corrections) (eV/atom) = 0.095
- electronic total energy (eV per atom) = -3.39